(1)
Entry from Alexandria: a relaxed structure of Mn2FeW (GGA-PBE).

It has space group Cm (No. 8), with a = 8.5585 Å, b = 2.6201 Å, c = 4.4643 Å, α = 90.00°, β = 100.63° and γ = 90.00°. The distinct sites, in fractional coordinates, are Mn at (0.0000, 0.0000, 0.0000), Mn at (0.2439, 0.5000, 0.2177), Fe at (0.4813, 0.0000, 0.4484) and W at (0.2380, 0.0000, 0.7120).

For the spin magnetization, the calculation gives 0.115 μB/atom. As for the volume: 49 Å³/f.u. As for the formation energy: 0.202 eV/atom.


(2)
Entry from Alexandria: a relaxed structure of Mn4FeW (GGA-PBE).

It has space group F-43m (No. 216), with a = 6.5799 Å, b = 6.5799 Å, c = 6.5799 Å, α = 90.00°, β = 90.00° and γ = 90.00°. The distinct sites, in fractional coordinates, are Mn at (0.1236, 0.1236, 0.3764), Fe at (0.2500, 0.2500, 0.7500) and W at (0.0000, 0.0000, 0.0000).

For the spin magnetization, the calculation gives 0.161 μB/atom. As for the volume: 71 Å³/f.u. As for the formation energy: 0.053 eV/atom.


DOS at the Fermi energy (states/eV/cell)
8.987 22.789